A plane-wave DFT calculation with PBE was carried out for an optimized crystal structure of CuAgBr2F.

```
5
Lattice="-4.564 2.160 0.938 -2.354 -4.121 -1.963 -0.054 -1.625 3.477" Properties=species:S:1:pos:R:3 pbc="T T T"
Ag -3.486 -1.793 1.226
F -0.027 -0.813 1.739
Br -2.282 1.080 0.469
Cu 0.000 0.000 0.000
Br -1.177 -2.061 -0.982
```

Computed properties:
**Energy relative to the elements, uncorrected**: -0.55 eV/atom
**Density**: 5.743 Mg/m³
**Electronic total energy**: -14.9 eV per formula unit
**Fermi-level density of states**: 0.60 states/eV per cell
**Crystal system**: tetragonal

A plane-wave DFT calculation with PBE was carried out for an optimized crystal structure of Th2NiGe.

```
4
Lattice="-0.730 -3.168 0.643 2.420 -2.258 0.164 1.570 -0.001 10.318" Properties=species:S:1:pos:R:3 pbc="T T T"
Th 1.942 -4.974 3.320
Ni 0.000 0.000 0.000
Ge 1.630 -2.714 5.562
Th 1.318 -0.453 7.805
```

Computed properties:
**Density**: 10.132 Mg/m³
**Calculated formation energy**: 26 kJ/mol of atoms
**Electronic total energy**: -24.2 eV per formula unit
**Fermi-level density of states**: 4.01 states/eV per cell
**Crystal system**: trigonal
**Polymorph energy (0 for the lowest one)**: 872 meV per atom

A plane-wave DFT calculation with PBE was carried out for an optimized crystal structure of LiPd5Au4.

```
10
Lattice="4.021 0.000 -0.974 -0.671 6.088 -2.768 -0.315 -0.710 7.485" Properties=species:S:1:pos:R:3 pbc="T T T"
Li 1.695 -0.710 6.998
Au 1.069 -0.133 4.413
Pd 1.360 2.334 5.614
Au -0.482 4.927 -1.987
Pd 0.489 1.459 2.019
Au 1.966 5.511 -0.670
Pd 2.546 3.918 1.724
Au 3.517 0.451 5.730
Pd 2.938 1.814 3.343
Pd 0.097 3.563 0.400
```

Computed properties:
**Density**: 12.737 Mg/m³
**Calculated formation energy**: -2 kJ/mol of atoms
**Electronic total energy**: -41.2 eV per formula unit
**Fermi-level density of states**: 7.54 states/eV per cell
**Crystal system**: monoclinic
**Polymorph energy (0 for the lowest one)**: 15 meV per atom

A plane-wave DFT calculation with PBE was carried out for an optimized crystal structure of NaIn2SnO.

```
5
Lattice="5.443 0.000 0.000 0.000 5.420 0.000 0.000 0.000 5.443" Properties=species:S:1:pos:R:3 pbc="T T T"
In 2.721 0.000 0.000
Sn 0.000 2.710 0.000
Na 0.000 0.000 0.000
O 2.721 2.710 2.721
In 0.000 0.000 2.721
```

Computed properties:
**Energy relative to the elements, uncorrected**: 0.90 eV/atom
**Density**: 4.006 Mg/m³
**Electronic total energy**: -11.3 eV per formula unit
**Fermi-level density of states**: 4.77 states/eV per cell
**Crystal system**: tetragonal

Repeat the third record exactly.
A plane-wave DFT calculation with PBE was carried out for an optimized crystal structure of LiPd5Au4.

```
10
Lattice="4.021 0.000 -0.974 -0.671 6.088 -2.768 -0.315 -0.710 7.485" Properties=species:S:1:pos:R:3 pbc="T T T"
Li 1.695 -0.710 6.998
Au 1.069 -0.133 4.413
Pd 1.360 2.334 5.614
Au -0.482 4.927 -1.987
Pd 0.489 1.459 2.019
Au 1.966 5.511 -0.670
Pd 2.546 3.918 1.724
Au 3.517 0.451 5.730
Pd 2.938 1.814 3.343
Pd 0.097 3.563 0.400
```

Computed properties:
**Density**: 12.737 Mg/m³
**Calculated formation energy**: -2 kJ/mol of atoms
**Electronic total energy**: -41.2 eV per formula unit
**Fermi-level density of states**: 7.54 states/eV per cell
**Crystal system**: monoclinic
**Polymorph energy (0 for the lowest one)**: 15 meV per atom

> Among the records above, which one has the highest Fermi-level density of states?

LiPd5Au4

> density of number 3 (LiPd5Au4)?

12.737 Mg/m³